First-principles (PBE-GGA) data for a relaxed Tb2PmTe4 crystal, as listed in Alexandria via LeMat-Bulk.

## Properties
The symmetry is No. 63. For the volume, the calculation gives 465 Å³/cell. The total energy is -5.184 eV per atom. For the energy relative to the elements, uncorrected, the calculation gives -937 kJ/mol of formula units.

Cell lengths 4.294, 7.517, 15.045 Å; angles 90.00, 90.00, 106.60 degrees
Sites, in units of the cell vectors:
Tb1 0.131 0.263 0.432
Tb2 0.869 0.737 0.932
Tb3 0.131 0.263 0.068
Tb4 0.869 0.737 0.568
Pm1 0.626 0.252 0.750
Pm2 0.374 0.748 0.250
Te1 0.777 0.554 0.121
Te2 0.777 0.554 0.379
Te3 0.223 0.446 0.879
Te4 0.223 0.446 0.621
Te5 0.964 0.928 0.750
Te6 0.036 0.072 0.250
Te7 0.500 0.000 0.000
Te8 0.500 0.000 0.500